Model one:
An optimized crystal structure of CaTlF6, computed with PBE-GGA.

Lattice parameters (Å, degrees): 5.281 5.294 6.255 65.04 65.01 60.02
Each line ends with the local moment (μB).
Fractional positions:
Ca (0.500, 0.500, 0.500)  0.00
Tl (0.000, 0.000, 0.000)  0.06
F (0.078, 0.403, 0.758)  0.15
F (0.759, 0.079, 0.758)  0.15
F (0.596, 0.241, 0.242)  0.15
F (0.241, 0.921, 0.242)  0.15
F (0.922, 0.597, 0.242)  0.15
F (0.404, 0.759, 0.758)  0.15

Summary:
Total moment ... 1.08 μB/f.u.
Space-group type ... P-1 (2)
DOS(E_F) ... 7.78 states/eV/cell

Model two:
An optimized crystal structure of CaTlF6, computed with PBE-GGA.

Lattice parameters (Å, degrees): 3.999 5.539 5.961 73.32 77.73 75.88
Each line ends with the local moment (μB).
Fractional positions:
Ca (0.000, 0.000, 0.000)  0.00
Tl (0.500, 0.500, 0.500)  -0.01
F (0.925, 0.421, 0.731)  0.14
F (0.538, 0.112, 0.768)  0.14
F (0.746, 0.246, 0.265)  0.20
F (0.462, 0.888, 0.232)  0.14
F (0.075, 0.579, 0.269)  0.14
F (0.254, 0.754, 0.735)  0.20

Summary:
Total moment ... 1.01 μB/f.u.
Space-group type ... P-1 (2)
DOS(E_F) ... 3.26 states/eV/cell

Ordering by calculated energy gives the sequence model two, model one, with the first entry being the most stable.

Model one:
An optimized crystal structure of CaTl3F, computed with PBE-GGA.

Lattice parameters (Å, degrees): 5.240 5.240 5.240 90.00 90.00 90.00
Fractional positions:
Tl (0.000, 0.500, 0.000)
Tl (0.000, 0.000, 0.500)
Tl (0.500, 0.000, 0.000)
Ca (0.500, 0.500, 0.500)
F (0.000, 0.000, 0.000)

Summary:
Total moment ... 0.00 μB/f.u.
Space-group type ... Pm-3m (221)
DOS(E_F) ... 3.46 states/eV/cell

Model two:
An optimized crystal structure of CaTl3F, computed with PBE-GGA.

Lattice parameters (Å, degrees): 6.148 6.148 6.148 90.00 90.00 90.00
Fractional positions:
Tl (0.000, 0.500, 0.000)
Tl (0.000, 0.000, 0.500)
Tl (0.500, 0.000, 0.000)
Ca (0.000, 0.000, 0.000)
F (0.500, 0.500, 0.500)

Summary:
Total moment ... 0.00 μB/f.u.
Space-group type ... Pm-3m (221)
DOS(E_F) ... 8.35 states/eV/cell

Ordering by calculated energy gives the sequence model one, model two, with the first entry being the most stable.

Model one:
An optimized crystal structure of CaTlF3, computed with PBE-GGA.

Lattice parameters (Å, degrees): 4.804 4.804 4.804 90.00 90.00 90.00
Fractional positions:
Tl (0.000, 0.000, 0.000)
Ca (0.500, 0.500, 0.500)
F (0.000, 0.500, 0.000)
F (0.000, 0.000, 0.500)
F (0.500, 0.000, 0.000)

Summary:
Total moment ... 0.00 μB/f.u.
Space-group type ... Pm-3m (221)
DOS(E_F) ... 0.33 states/eV/cell

Model two:
An optimized crystal structure of CaTlF3, computed with PBE-GGA.

Lattice parameters (Å, degrees): 4.510 4.510 4.510 90.00 90.00 90.00
Fractional positions:
Tl (0.500, 0.500, 0.500)
Ca (0.000, 0.000, 0.000)
F (0.000, 0.500, 0.000)
F (0.000, 0.000, 0.500)
F (0.500, 0.000, 0.000)

Summary:
Total moment ... 0.00 μB/f.u.
Space-group type ... Pm-3m (221)
DOS(E_F) ... 0.00 states/eV/cell

Model three:
An optimized crystal structure of CaTlF3, computed with PBE-GGA.

Lattice parameters (Å, degrees): 6.362 6.362 6.362 60.09 60.09 60.09
Fractional positions:
Ca (0.993, 0.993, 0.993)
Ca (0.493, 0.493, 0.493)
Tl (0.733, 0.733, 0.733)
Tl (0.233, 0.233, 0.233)
F (0.296, 0.757, 0.193)
F (0.757, 0.193, 0.296)
F (0.193, 0.296, 0.757)
F (0.257, 0.796, 0.693)
F (0.693, 0.257, 0.796)
F (0.796, 0.693, 0.257)

Summary:
Total moment ... 0.00 μB/f.u.
Space-group type ... R3c (161)
DOS(E_F) ... 0.00 states/eV/cell

Ordering by calculated energy gives the sequence model three, model two, model one, with the first entry being the most stable.